Record 1
Material: AgHS
Method: DFT, PBE
State: optimized geometry

Cell: 4.788 5.175 6.213 Å, 90.00 129.95 90.00°
Positions (direct):
1 Ag 0.000 0.000 0.000
2 Ag 0.000 0.000 0.500
3 H 0.503 0.399 0.073
4 H 0.503 0.601 0.573
5 S 0.500 0.295 0.274
6 S 0.500 0.705 0.774

ΔE to the lowest computed polymorph: 0.000 eV per atom
Symmetry: Pc



Record 2
Material: Ag3H2S2
Method: DFT, PBE
State: optimized geometry

Cell: 3.488 5.192 7.651 Å, 108.48 90.59 95.88°
Positions (direct):
1 Ag 0.000 0.000 0.000
2 Ag 0.271 0.595 0.663
3 Ag 0.729 0.405 0.337
4 H 0.137 0.930 0.350
5 H 0.863 0.070 0.650
6 S 0.218 0.130 0.736
7 S 0.782 0.870 0.264

Total DFT energy (no corrections): -3.29 eV per atom
Symmetry: P-1



Record 3
Material: AgHS
Method: DFT, PBE
State: optimized geometry

Cell: 4.682 4.682 4.682 Å, 131.73 131.73 70.65°
Positions (direct):
1 Ag 0.000 0.000 0.000
2 H 0.312 0.312 0.000
3 S 0.490 0.490 0.000

ΔE to the lowest computed polymorph: 0.115 eV per atom
Symmetry: I4mm



Record 4
Material: AgH2S2
Method: DFT, PBE
State: optimized geometry

Cell: 6.873 6.873 3.138 Å, 90.00 90.00 90.00°
Positions (direct):
1 Ag 0.000 0.000 0.000
2 Ag 0.500 0.500 0.000
3 H 0.129 0.371 0.500
4 H 0.371 0.871 0.500
5 H 0.629 0.129 0.500
6 H 0.871 0.629 0.500
7 S 0.177 0.323 0.000
8 S 0.323 0.823 0.000
9 S 0.677 0.177 0.000
10 S 0.823 0.677 0.000

ΔE to the lowest computed polymorph: 0.209 eV per atom
Symmetry: P4/mbm



Record 5
Material: AgH2S2
Method: DFT, PBE
State: optimized geometry

Cell: 3.696 4.299 6.872 Å, 105.71 90.40 114.36°
Positions (direct):
1 Ag 0.000 0.000 0.000
2 H 0.343 0.681 0.662
3 H 0.657 0.319 0.338
4 S 0.485 0.962 0.244
5 S 0.515 0.038 0.756

ΔE to the lowest computed polymorph: 0.000 eV per atom
Symmetry: P-1



Record 6
Material: AgHS2
Method: DFT, PBE
State: optimized geometry

Cell: 5.682 5.682 5.682 Å, 123.19 123.19 84.55°
Positions (direct):
1 Ag 0.000 0.000 0.000
2 Ag 0.750 0.250 0.500
3 H 0.250 0.750 0.500
4 H 0.500 0.500 0.000
5 S 0.213 0.625 0.088
6 S 0.375 0.463 0.588
7 S 0.537 0.125 0.912
8 S 0.875 0.787 0.412

ΔE to the lowest computed polymorph: 0.286 eV per atom
Symmetry: I-42d



Record 7
Material: AgHS2
Method: DFT, PBE
State: optimized geometry

Cell: 6.193 6.193 6.193 Å, 36.40 36.40 36.40°
Positions (direct):
1 Ag 0.000 0.000 0.000
2 H 0.500 0.500 0.500
3 S 0.407 0.407 0.407
4 S 0.593 0.593 0.593

ΔE to the lowest computed polymorph: 0.000 eV per atom
Symmetry: R-3m



Record 8
Material: AgHS5
Method: DFT, PBE
State: optimized geometry

Cell: 9.938 9.938 7.045 Å, 96.77 96.77 143.24°
Positions (direct):
1 Ag 0.000 0.000 0.000
2 Ag 0.000 0.000 0.500
3 H 0.001 0.999 0.750
4 H 0.999 0.001 0.250
5 S 0.159 0.501 0.377
6 S 0.218 0.448 0.622
7 S 0.400 0.600 0.250
8 S 0.448 0.218 0.122
9 S 0.499 0.841 0.123
10 S 0.501 0.159 0.877
11 S 0.552 0.782 0.878
12 S 0.600 0.400 0.750
13 S 0.782 0.552 0.378
14 S 0.841 0.499 0.623

Total DFT energy (no corrections): -3.62 eV per atom
Symmetry: C2/c



Record 9
Material: AgH2S
Method: DFT, PBE
State: optimized geometry

Cell: 5.305 5.305 5.305 Å, 60.00 60.00 60.00°
Positions (direct):
1 Ag 0.125 0.125 0.125
2 Ag 0.875 0.875 0.875
3 H 0.000 0.500 0.500
4 H 0.500 0.000 0.500
5 H 0.500 0.500 0.000
6 H 0.500 0.500 0.500
7 S 0.375 0.375 0.375
8 S 0.625 0.625 0.625

ΔE to the lowest computed polymorph: 0.000 eV per atom
Symmetry: Fd-3m



Record 10
Material: AgHS
Method: DFT, PBE
State: optimized geometry

Cell: 4.551 5.420 6.356 Å, 97.40 93.68 113.03°
Positions (direct):
1 Ag 0.000 0.000 0.000
2 Ag 0.333 0.628 0.099
3 H 0.851 0.309 0.704
4 H 0.994 0.924 0.436
5 S 0.142 0.301 0.745
6 S 0.885 0.712 0.269

ΔE to the lowest computed polymorph: 0.012 eV per atom
Symmetry: P1



Record 11
Material: AgH2S
Method: DFT, PBE
State: optimized geometry

Cell: 3.932 3.932 3.932 Å, 60.00 60.00 60.00°
Positions (direct):
1 Ag 0.000 0.000 0.000
2 H 0.250 0.250 0.250
3 H 0.750 0.750 0.750
4 S 0.500 0.500 0.500

ΔE to the lowest computed polymorph: 0.577 eV per atom
Symmetry: Fm-3m



Record 12
Material: AgHS
Method: DFT, PBE
State: optimized geometry

Cell: 4.496 4.503 7.425 Å, 100.64 98.59 90.56°
Positions (direct):
1 Ag 0.000 0.000 0.000
2 Ag 0.500 0.500 0.000
3 H 0.005 0.489 0.699
4 H 0.995 0.511 0.301
5 S 0.224 0.710 0.752
6 S 0.776 0.290 0.248

ΔE to the lowest computed polymorph: 0.007 eV per atom
Symmetry: P-1



Number 1: density 3966 kg/m3, total moment 0.00 μB per cell. Number 2: density 4956 kg/m3, total moment 0.00 μB per cell. Number 3: density 4180 kg/m3, total moment 0.00 μB per cell. Number 4: density 3898 kg/m3, total moment 0.00 μB per cell. Number 5: density 3046 kg/m3, total moment 0.00 μB per cell. Number 6: density 4677 kg/m3, total moment 0.00 μB per cell. Number 7: density 3838 kg/m3, total moment 0.00 μB per cell. Number 8: density 2316 kg/m3, total moment 0.00 μB per cell. Number 9: density 4466 kg/m3, total moment 0.00 μB per cell. Number 10: density 3297 kg/m3, total moment 0.00 μB per cell. Number 11: density 5485 kg/m3, total moment 0.43 μB per cell. Number 12: density 3207 kg/m3, total moment 0.00 μB per cell.